Entry 1:
The following is a PBE calculation of a relaxed Li3Cd5In crystal, from Alexandria via LeMat-Bulk.

abc: 8.3923 8.3923 5.8979
angles: 90.00 90.00 120.00
Fractional positions:
Li1 0.0000 0.3303 0.2500
Li2 0.0000 0.6697 0.7500
Li3 0.3303 0.0000 0.2500
Li4 0.3303 0.3303 0.7500
Li5 0.6697 0.0000 0.7500
Li6 0.6697 0.6697 0.2500
Cd1 0.0000 0.3388 0.7500
Cd2 0.0000 0.6612 0.2500
Cd3 0.3333 0.6667 0.0000
Cd4 0.3333 0.6667 0.5000
Cd5 0.3388 0.0000 0.7500
Cd6 0.3388 0.3388 0.2500
Cd7 0.6612 0.0000 0.2500
Cd8 0.6612 0.6612 0.7500
Cd9 0.6667 0.3333 0.0000
Cd10 0.6667 0.3333 0.5000
In1 0.0000 0.0000 0.0000
In2 0.0000 0.0000 0.5000

Properties
The total energy is -1.635 eV/atom. The formation energy comes out at -0.184 eV per atom. As for the crystal system: hexagonal.



Entry 2:
The following is a PBE calculation of a relaxed Li3Cd2In6 crystal, from Alexandria via LeMat-Bulk.

abc: 5.8023 7.0847 7.3108
angles: 107.93 103.72 108.92
Fractional positions:
Li1 0.0000 0.0000 0.0000
Li2 0.2628 0.1142 0.7270
Li3 0.7372 0.8858 0.2730
Cd1 0.2574 0.4570 0.0687
Cd2 0.7426 0.5430 0.9313
In1 0.1853 0.3355 0.4367
In2 0.2394 0.8679 0.3191
In3 0.3885 0.7663 0.8237
In4 0.6115 0.2337 0.1763
In5 0.7607 0.1321 0.6809
In6 0.8147 0.6645 0.5633

Properties
The total energy is -2.305 eV/atom. The formation energy comes out at -0.123 eV per atom. As for the crystal system: triclinic.



Entry 3:
The following is a PBE calculation of a relaxed Li6Cd2In crystal, from Alexandria via LeMat-Bulk.

abc: 8.0482 8.0482 2.9164
angles: 90.00 90.00 120.24
Fractional positions:
Li1 0.0000 0.3322 0.0000
Li2 0.0000 0.6678 0.0000
Li3 0.3322 0.0000 0.0000
Li4 0.3328 0.3328 0.0000
Li5 0.6672 0.6672 0.0000
Li6 0.6678 0.0000 0.0000
Cd1 0.3327 0.6673 0.5000
Cd2 0.6673 0.3327 0.5000
In1 0.0000 0.0000 0.5000

Properties
The total energy is -2.009 eV/atom. The formation energy comes out at -0.225 eV per atom. As for the crystal system: orthorhombic.



Entry 4:
The following is a PBE calculation of a relaxed LiCd4In crystal, from Alexandria via LeMat-Bulk.

abc: 7.6348 7.6348 5.9545
angles: 98.91 98.91 123.52
Fractional positions:
Li1 0.0006 0.9994 0.7500
Li2 0.9994 0.0006 0.2500
Cd1 0.0699 0.7040 0.9476
Cd2 0.1587 0.4247 0.6202
Cd3 0.2960 0.9301 0.5524
Cd4 0.4247 0.1587 0.1202
Cd5 0.5753 0.8413 0.8798
Cd6 0.7040 0.0699 0.4476
Cd7 0.8413 0.5753 0.3798
Cd8 0.9301 0.2960 0.0524
In1 0.4283 0.5717 0.2500
In2 0.5717 0.4283 0.7500

Properties
The total energy is -1.446 eV/atom. The formation energy comes out at -0.061 eV per atom. As for the crystal system: monoclinic. Its distance to the lowest polymorph of the same formula is 0.0 meV/atom.



Entry 5:
The following is a PBE calculation of a relaxed LiCdIn14 crystal, from Alexandria via LeMat-Bulk.

abc: 6.9943 6.9943 8.5695
angles: 90.00 90.00 90.06
Fractional positions:
Li1 0.0000 0.0000 0.0000
Cd1 0.5000 0.5000 0.0000
In1 0.0000 0.0000 0.5000
In2 0.0000 0.5000 0.0000
In3 0.0000 0.5000 0.5000
In4 0.2488 0.2488 0.2425
In5 0.2488 0.2488 0.7575
In6 0.2488 0.7512 0.2426
In7 0.2488 0.7512 0.7574
In8 0.5000 0.0000 0.0000
In9 0.5000 0.0000 0.5000
In10 0.5000 0.5000 0.5000
In11 0.7512 0.2488 0.2426
In12 0.7512 0.2488 0.7574
In13 0.7512 0.7512 0.2425
In14 0.7512 0.7512 0.7575

Properties
The total energy is -2.585 eV/atom. The formation energy comes out at -0.012 eV per atom. As for the crystal system: orthorhombic.



Entry 6:
The following is a PBE calculation of a relaxed Li4Cd4In3 crystal, from Alexandria via LeMat-Bulk.

abc: 9.0365 9.0365 9.0365
angles: 149.19 141.41 50.17
Fractional positions:
Li1 0.1658 0.1658 0.0000
Li2 0.2623 0.5000 0.7623
Li3 0.7377 0.5000 0.2377
Li4 0.8342 0.8342 0.0000
Cd1 0.0627 0.3158 0.7469
Cd2 0.4311 0.6842 0.7469
Cd3 0.5689 0.3158 0.2531
Cd4 0.9373 0.6842 0.2531
In1 0.0000 0.0000 0.0000
In2 0.4016 0.9016 0.5000
In3 0.5984 0.0984 0.5000

Properties
The total energy is -1.894 eV/atom. The formation energy comes out at -0.118 eV per atom. As for the crystal system: orthorhombic. Its distance to the lowest polymorph of the same formula is 65.9 meV/atom.



Entry 7:
The following is a PBE calculation of a relaxed Li3CdIn6 crystal, from Alexandria via LeMat-Bulk.

abc: 8.1339 8.1339 8.1339
angles: 106.02 106.02 106.02
Fractional positions:
Li1 0.1016 0.3771 0.2507
Li2 0.2507 0.1016 0.3771
Li3 0.3771 0.2507 0.1016
Li4 0.6229 0.7493 0.8984
Li5 0.7493 0.8984 0.6229
Li6 0.8984 0.6229 0.7493
Cd1 0.0000 0.0000 0.0000
Cd2 0.5000 0.5000 0.5000
In1 0.0527 0.3433 0.8734
In2 0.1266 0.9473 0.6567
In3 0.2008 0.5656 0.6512
In4 0.3433 0.8734 0.0527
In5 0.3488 0.7992 0.4344
In6 0.4344 0.3488 0.7992
In7 0.5656 0.6512 0.2008
In8 0.6512 0.2008 0.5656
In9 0.6567 0.1266 0.9473
In10 0.7992 0.4344 0.3488
In11 0.8734 0.0527 0.3433
In12 0.9473 0.6567 0.1266

Properties
The total energy is -2.430 eV/atom. The formation energy comes out at -0.121 eV per atom. As for the crystal system: trigonal. Its distance to the lowest polymorph of the same formula is 0.0 meV/atom.



Entry 8:
The following is a PBE calculation of a relaxed LiCdIn2 crystal, from Alexandria via LeMat-Bulk.

abc: 9.9098 9.9098 9.9098
angles: 19.21 19.21 19.21
Fractional positions:
Li1 0.0000 0.0000 0.0000
Cd1 0.8337 0.8337 0.8337
In1 0.4126 0.4126 0.4126
In2 0.5880 0.5880 0.5880

Properties
The total energy is -2.180 eV/atom. The formation energy comes out at -0.104 eV per atom. As for the crystal system: trigonal.



Entry 9:
The following is a PBE calculation of a relaxed Li2CdIn5 crystal, from Alexandria via LeMat-Bulk.

abc: 10.4326 10.4326 11.8218
angles: 90.00 90.00 161.96
Fractional positions:
Li1 0.0872 0.9128 0.6222
Li2 0.0872 0.9128 0.8778
Li3 0.9128 0.0872 0.1222
Li4 0.9128 0.0872 0.3778
Cd1 0.1749 0.8251 0.2500
Cd2 0.8251 0.1749 0.7500
In1 0.0491 0.9509 0.1172
In2 0.0491 0.9509 0.3828
In3 0.2022 0.7978 0.7500
In4 0.3184 0.6816 0.5117
In5 0.3184 0.6816 0.9883
In6 0.6816 0.3184 0.0117
In7 0.6816 0.3184 0.4883
In8 0.7978 0.2022 0.2500
In9 0.9509 0.0491 0.6172
In10 0.9509 0.0491 0.8828

Properties
The total energy is -2.322 eV/atom. The formation energy comes out at -0.018 eV per atom. As for the crystal system: orthorhombic. Its distance to the lowest polymorph of the same formula is 126.2 meV/atom.



Entry 10:
The following is a PBE calculation of a relaxed Li2CdIn4 crystal, from Alexandria via LeMat-Bulk.

abc: 6.8393 6.8393 9.6564
angles: 90.00 90.00 52.88
Fractional positions:
Li1 0.1264 0.1264 0.0000
Li2 0.3736 0.3736 0.5000
Li3 0.6264 0.6264 0.5000
Li4 0.8736 0.8736 0.0000
Cd1 0.0000 0.0000 0.5000
Cd2 0.5000 0.5000 0.0000
In1 0.0020 0.4980 0.2500
In2 0.2497 0.7503 0.2499
In3 0.2503 0.7497 0.7499
In4 0.4980 0.0020 0.7500
In5 0.5020 0.9980 0.2500
In6 0.7497 0.2503 0.2501
In7 0.7503 0.2497 0.7501
In8 0.9980 0.5020 0.7500

Properties
The total energy is -2.277 eV/atom. The formation energy comes out at -0.034 eV per atom. As for the crystal system: orthorhombic. Its distance to the lowest polymorph of the same formula is 0.0 meV/atom.



Entry 11:
The following is a PBE calculation of a relaxed LiCd4In2 crystal, from Alexandria via LeMat-Bulk.

abc: 10.5031 10.5031 3.1700
angles: 90.00 90.00 151.91
Fractional positions:
Li1 0.0000 0.0000 0.0000
Cd1 0.1236 0.8764 0.5000
Cd2 0.4274 0.5726 0.0000
Cd3 0.5726 0.4274 0.0000
Cd4 0.8764 0.1236 0.5000
In1 0.2875 0.7125 0.5000
In2 0.7125 0.2875 0.5000

Properties
The total energy is -1.607 eV/atom. The formation energy comes out at -0.029 eV per atom. As for the crystal system: orthorhombic. Its distance to the lowest polymorph of the same formula is 0.0 meV/atom.



Entry 12:
The following is a PBE calculation of a relaxed Li2Cd3In8 crystal, from Alexandria via LeMat-Bulk.

abc: 7.4162 7.4162 9.6889
angles: 120.44 120.44 48.35
Fractional positions:
Li1 0.1018 0.1018 0.4912
Li2 0.8982 0.8982 0.5088
Cd1 0.2487 0.7513 0.0000
Cd2 0.5000 0.5000 0.5000
Cd3 0.7513 0.2487 0.0000
In1 0.1080 0.6237 0.1730
In2 0.2140 0.2140 0.2893
In3 0.3638 0.3638 0.6722
In4 0.3763 0.8920 0.8270
In5 0.6237 0.1080 0.1730
In6 0.6362 0.6362 0.3278
In7 0.7860 0.7860 0.7107
In8 0.8920 0.3763 0.8270

Properties
The total energy is -2.200 eV/atom. The formation energy comes out at -0.009 eV per atom. As for the crystal system: monoclinic.



Entry 13:
The following is a PBE calculation of a relaxed Li8Cd2In crystal, from Alexandria via LeMat-Bulk.

abc: 8.0874 8.0874 5.5390
angles: 90.71 90.71 34.08
Fractional positions:
Li1 0.0442 0.0442 0.2369
Li2 0.1376 0.1376 0.6705
Li3 0.3179 0.3179 0.5939
Li4 0.4080 0.4080 0.0350
Li5 0.5920 0.5920 0.9650
Li6 0.6821 0.6821 0.4061
Li7 0.8624 0.8624 0.3295
Li8 0.9558 0.9558 0.7631
Cd1 0.2238 0.2238 0.1446
Cd2 0.7762 0.7762 0.8554
In1 0.5000 0.5000 0.5000

Properties
The total energy is -2.009 eV/atom. The formation energy comes out at -0.201 eV per atom. As for the crystal system: monoclinic. Its distance to the lowest polymorph of the same formula is 0.0 meV/atom.



Entry 14:
The following is a PBE calculation of a relaxed Li8Cd2In3 crystal, from Alexandria via LeMat-Bulk.

abc: 10.8010 10.8010 10.8010
angles: 28.63 28.63 28.63
Fractional positions:
Li1 0.2228 0.2228 0.2228
Li2 0.2282 0.2282 0.7240
Li3 0.2282 0.7240 0.2282
Li4 0.2759 0.7718 0.7718
Li5 0.7240 0.2282 0.2282
Li6 0.7718 0.2760 0.7718
Li7 0.7718 0.7718 0.2760
Li8 0.7772 0.7772 0.7772
Cd1 0.1340 0.1340 0.1340
Cd2 0.8660 0.8660 0.8660
In1 0.3151 0.3151 0.3151
In2 0.5000 0.5000 0.5000
In3 0.6849 0.6849 0.6849

Properties
The total energy is -2.106 eV/atom. The formation energy comes out at -0.155 eV per atom. As for the crystal system: trigonal.



Entry 15:
The following is a PBE calculation of a relaxed LiCdIn2 crystal, from Alexandria via LeMat-Bulk.

abc: 5.5162 5.5162 3.2585
angles: 90.00 90.00 112.75
Fractional positions:
Li1 0.0000 0.0000 0.0000
Cd1 0.5000 0.5000 0.0000
In1 0.0000 0.5000 0.5000
In2 0.5000 0.0000 0.5000

Properties
The total energy is -2.189 eV/atom. The formation energy comes out at -0.112 eV per atom. As for the crystal system: orthorhombic.



Entry 16:
The following is a PBE calculation of a relaxed Li2Cd3In crystal, from Alexandria via LeMat-Bulk.

abc: 3.0835 4.9172 8.5786
angles: 90.00 90.00 90.00
Fractional positions:
Li1 0.0000 0.0000 0.0000
Li2 0.0000 0.5000 0.4871
Cd1 0.5000 0.0000 0.3242
Cd2 0.5000 0.0000 0.6524
Cd3 0.5000 0.5000 0.1644
In1 0.5000 0.5000 0.8290

Properties
The total energy is -1.725 eV/atom. The formation energy comes out at -0.173 eV per atom. As for the crystal system: orthorhombic.



Entry 17:
The following is a PBE calculation of a relaxed Li4Cd5In2 crystal, from Alexandria via LeMat-Bulk.

abc: 7.6017 3.1860 9.6170
angles: 90.00 96.78 90.00
Fractional positions:
Li1 0.1817 0.0000 0.3884
Li2 0.2607 0.0000 0.9319
Li3 0.7393 0.0000 0.0681
Li4 0.8183 0.0000 0.6116
Cd1 0.1704 0.5000 0.6422
Cd2 0.4676 0.5000 0.1787
Cd3 0.5000 0.5000 0.5000
Cd4 0.5324 0.5000 0.8213
Cd5 0.8296 0.5000 0.3578
In1 0.0796 0.5000 0.1430
In2 0.9204 0.5000 0.8570

Properties
The total energy is -1.788 eV/atom. The formation energy comes out at -0.179 eV per atom. As for the crystal system: monoclinic. Its distance to the lowest polymorph of the same formula is 5.1 meV/atom.



Entry 18:
The following is a PBE calculation of a relaxed Li12Cd2In5 crystal, from Alexandria via LeMat-Bulk.

abc: 8.3185 8.3185 7.3557
angles: 98.58 98.58 46.68
Fractional positions:
Li1 0.0424 0.0424 0.1899
Li2 0.0976 0.5524 0.7314
Li3 0.1350 0.6488 0.1431
Li4 0.3276 0.3276 0.4012
Li5 0.3512 0.8650 0.8569
Li6 0.4476 0.9024 0.2686
Li7 0.5524 0.0976 0.7314
Li8 0.6488 0.1350 0.1431
Li9 0.6724 0.6724 0.5988
Li10 0.8650 0.3512 0.8569
Li11 0.9024 0.4476 0.2686
Li12 0.9576 0.9576 0.8101
Cd1 0.2760 0.7240 0.5000
Cd2 0.7240 0.2760 0.5000
In1 0.1628 0.1628 0.5745
In2 0.2483 0.2483 0.0055
In3 0.5000 0.5000 0.0000
In4 0.7517 0.7517 0.9945
In5 0.8372 0.8372 0.4255

Properties
The total energy is -2.227 eV/atom. The formation energy comes out at -0.201 eV per atom. As for the crystal system: monoclinic.



Entry 19:
The following is a PBE calculation of a relaxed Li5CdIn crystal, from Alexandria via LeMat-Bulk.

abc: 5.1960 5.1960 10.2508
angles: 99.49 99.49 101.61
Fractional positions:
Li1 0.0735 0.2720 0.0428
Li2 0.1517 0.8483 0.7500
Li3 0.2720 0.0735 0.5428
Li4 0.3647 0.4245 0.8537
Li5 0.4245 0.3647 0.3537
Li6 0.5755 0.6353 0.6463
Li7 0.6353 0.5755 0.1463
Li8 0.7280 0.9265 0.4572
Li9 0.8483 0.1517 0.2500
Li10 0.9265 0.7280 0.9572
Cd1 0.2104 0.7896 0.2500
Cd2 0.7896 0.2104 0.7500
In1 0.0000 0.5000 0.5000
In2 0.5000 0.0000 0.0000

Properties
The total energy is -2.066 eV/atom. The formation energy comes out at -0.177 eV per atom. As for the crystal system: monoclinic. Its distance to the lowest polymorph of the same formula is 0.0 meV/atom.



Entry 20:
The following is a PBE calculation of a relaxed Li7Cd4In crystal, from Alexandria via LeMat-Bulk.

abc: 7.3142 7.3142 7.8862
angles: 117.06 117.06 40.15
Fractional positions:
Li1 0.0000 0.0000 0.0000
Li2 0.2736 0.2736 0.7515
Li3 0.2997 0.2997 0.1298
Li4 0.4195 0.4195 0.5713
Li5 0.5805 0.5805 0.4287
Li6 0.7003 0.7003 0.8702
Li7 0.7264 0.7264 0.2485
Cd1 0.0675 0.0675 0.7173
Cd2 0.1762 0.1762 0.3627
Cd3 0.8238 0.8238 0.6373
Cd4 0.9325 0.9325 0.2827
In1 0.5000 0.5000 0.0000

Properties
The total energy is -1.780 eV/atom. The formation energy comes out at -0.130 eV per atom. As for the crystal system: monoclinic. Its distance to the lowest polymorph of the same formula is 104.1 meV/atom.